Record 1
Computed, not measured: CsRbTe2As after structural relaxation at the PBE level of DFT.

Cell lengths 8.5042, 8.5042, 7.1372 Å; angles 90.00, 90.00, 127.30 degrees
Fractional coordinates of all 10 atoms:
Cs  0.2500  0.7500  0.7627
Cs  0.7500  0.2500  0.2373
Rb  0.2500  0.2500  0.0000
Rb  0.7500  0.7500  0.0000
Te  0.1519  0.8481  0.2814
Te  0.3481  0.6519  0.2814
Te  0.6519  0.3481  0.7186
Te  0.8481  0.1519  0.7186
As  0.0000  0.0000  0.5000
As  0.5000  0.5000  0.5000

Space-group type = Cmme, No. 67
Formation energy (no corrections) = -0.425 eV/atom
VASP energy = -2.975 eV per atom


Record 2
Computed, not measured: AlZnSb2 after structural relaxation at the PBE level of DFT.

Cell lengths 4.4629, 4.4629, 6.4903 Å; angles 107.42, 107.42, 54.74 degrees
Fractional coordinates of all 4 atoms:
Al  0.0000  0.0000  0.0000
Zn  0.8013  0.8013  0.2310
Sb  0.2487  0.2487  0.7958
Sb  0.5509  0.5509  0.4079

Excess energy over the best structure of this formula in the dataset = 0.1093 eV per atom
Space-group type = Cm, No. 8
Formation energy (no corrections) = 0.100 eV/atom
VASP energy = -3.215 eV per atom


Record 3
Computed, not measured: Rb2Be2As2H after structural relaxation at the PBE level of DFT.

Cell lengths 6.0023, 6.0023, 8.0742 Å; angles 120.75, 120.75, 38.95 degrees
Fractional coordinates of all 7 atoms:
Rb  0.0585  0.0585  0.3321
Rb  0.9415  0.9415  0.6679
Be  0.3392  0.3392  0.9407
Be  0.6608  0.6608  0.0593
As  0.2748  0.2748  0.1777
As  0.7252  0.7252  0.8223
H  0.5000  0.5000  0.0000

Space-group type = C2/m, No. 12
VASP energy = -3.367 eV per atom


Record 4
Computed, not measured: CsMnSbSe3 after structural relaxation at the PBE level of DFT.

Cell lengths 9.8998, 4.2775, 10.3860 Å; angles 90.00, 109.28, 90.00 degrees
Fractional coordinates of all 12 atoms:
Cs  0.1963  0.2500  0.2356
Cs  0.8037  0.7500  0.7644
Mn  0.0910  0.2500  0.6090
Mn  0.9090  0.7500  0.3910
Sb  0.3413  0.7500  0.8692
Sb  0.6587  0.2500  0.1308
Se  0.1410  0.2500  0.8638
Se  0.1831  0.7500  0.5258
Se  0.4533  0.7500  0.1399
Se  0.5467  0.2500  0.8601
Se  0.8169  0.2500  0.4742
Se  0.8590  0.7500  0.1362

Space-group type = P2_1/m, No. 11
Formation energy (no corrections) = -0.622 eV/atom
VASP energy = -4.722 eV per atom